Entry 1:
DFT (GGA-PBE) results for a relaxed structure of Ho6BiIr.

Lattice parameters (Å, degrees): 6.8317 6.8317 19.8054 90.00 90.00 120.00
Last column: nearest neighbours and their distance in Å.
Space group R-3 (No. 148, hexagonal axes)
Symmetry-distinct sites (fractional):
Ho (0.0078, 0.6366, 0.4104) [18 per cell]  1 Ir 2.69
Bi (0.0000, 0.0000, 0.5000) [3 per cell]  6 Ho 3.07
Ir (0.0000, 0.0000, 0.0000) [3 per cell]  6 Ho 2.69

Total moment ... 0.000 μB/atom
Calculated total energy ... -5.292 eV per atom

=====

Entry 2:
DFT (GGA-PBE) results for a relaxed structure of Nb3HgI.

Lattice parameters (Å, degrees): 5.1451 5.1451 5.1451 90.00 90.00 90.00
Last column: nearest neighbours and their distance in Å.
Space group Pm-3m (No. 221)
Symmetry-distinct sites (fractional):
Nb (0.0000, 0.0000, 0.5000) [3 per cell]  2 Hg 2.57
Hg (0.0000, 0.0000, 0.0000) [1 per cell]  6 Nb 2.57
I (0.5000, 0.5000, 0.5000) [1 per cell]  12 Nb 3.64

Energy relative to the lowest polymorph listed for this composition ... 310 meV per atom
Total moment ... 0.000 μB/atom
Calculated total energy ... -4.498 eV per atom

=====

Entry 3:
DFT (GGA-PBE) results for a relaxed structure of Pr7NdGa4.

Lattice parameters (Å, degrees): 13.9988 5.7407 10.6829 90.00 123.96 90.00
Last column: nearest neighbours and their distance in Å.
Space group C2/m (No. 12)
Symmetry-distinct sites (fractional):
Pr (0.0000, 0.0000, 0.0000) [2 per cell]  2 Nd 2.87, 4 Ga 2.98-3.07
Pr (0.0658, 0.5000, 0.3876) [4 per cell]  5 Ga 3.13-3.49, 2 Pr 3.23-3.42
Pr (0.2041, 0.0000, 0.6431) [4 per cell]  4 Ga 2.98-3.24
Pr (0.2045, 0.5000, 0.8800) [4 per cell]  4 Pr 3.23-3.58, 4 Ga 3.38-3.46
Nd (0.0000, 0.5000, 0.0000) [2 per cell]  2 Pr 2.87
Ga (0.0510, 0.0000, 0.7552) [4 per cell]  1 Ga 2.81, 2 Pr 2.98-3.07
Ga (0.1791, 0.0000, 0.3308) [4 per cell]  1 Ga 2.81, 2 Pr 2.98-3.13

Total moment ... 0.021 μB/atom
Calculated total energy ... -4.398 eV per atom

=====

Entry 4:
DFT (GGA-PBE) results for a relaxed structure of Hf5Zn2N.

Lattice parameters (Å, degrees): 4.3568 14.4034 10.6951 90.00 90.00 90.00
Last column: nearest neighbours and their distance in Å.
Space group Cmcm (No. 63)
Symmetry-distinct sites (fractional):
Hf (0.0000, 0.0932, 0.1072) [8 per cell]  1 N 2.24
Hf (0.0000, 0.2891, 0.7500) [4 per cell]  2 N 2.18
Hf (0.0000, 0.3014, 0.0724) [8 per cell]  1 N 2.34
Zn (0.0000, 0.0952, 0.6420) [8 per cell]  1 Zn 2.31
N (0.0000, 0.2067, 0.2500) [4 per cell]  6 Hf 2.18-2.34

Total moment ... 0.000 μB/atom
Calculated total energy ... -7.660 eV per atom

=====

Entry 5:
DFT (GGA-PBE) results for a relaxed structure of CePmEu2.

Lattice parameters (Å, degrees): 3.6995 3.6995 10.6021 90.00 90.00 90.00
Last column: nearest neighbours and their distance in Å.
Space group P4/mmm (No. 123)
Symmetry-distinct sites (fractional):
Ce (0.0000, 0.0000, 0.0000) [1 per cell]  4 Ce 3.70, 8 Eu 3.70
Pm (0.0000, 0.0000, 0.5000) [1 per cell]  4 Pm 3.70, 8 Eu 3.75
Eu (0.5000, 0.5000, 0.2468) [2 per cell]  4 Eu 3.70, 4 Ce 3.70, 4 Pm 3.75

Energy relative to the lowest polymorph listed for this composition ... 0 meV per atom
Total moment ... 4.083 μB/atom
Calculated total energy ... -7.631 eV per atom

=====

Entry 6:
DFT (GGA-PBE) results for a relaxed structure of Li5TlSn.

Lattice parameters (Å, degrees): 12.3553 8.0341 5.4029 90.00 98.53 90.00
Last column: nearest neighbours and their distance in Å.
Space group C2/c (No. 15)
Symmetry-distinct sites (fractional):
Li (0.0000, 0.1271, 0.2500) [4 per cell]  3 Tl 2.86-2.98, 6 Li 2.88-3.13
Li (0.1120, 0.4550, 0.1622) [8 per cell]  6 Li 2.74-3.05, 1 Sn 2.83, 2 Tl 2.86-2.98
Li (0.1923, 0.0934, 0.0102) [8 per cell]  4 Li 2.74-2.99, 1 Tl 2.84, 2 Sn 2.85-2.92
Tl (0.0000, 0.2433, 0.7500) [4 per cell]  9 Li 2.84-2.98
Sn (0.2500, 0.2500, 0.5000) [4 per cell]  8 Li 2.83-3.12

Total moment ... 0.000 μB/atom
Calculated total energy ... -2.552 eV per atom

=====

Entry 7:
DFT (GGA-PBE) results for a relaxed structure of Al2TeCl.

Lattice parameters (Å, degrees): 3.6927 3.6927 7.0658 90.00 90.00 90.00
Last column: nearest neighbours and their distance in Å.
Space group P4/mmm (No. 123)
Symmetry-distinct sites (fractional):
Al (0.0000, 0.0000, 0.2266) [2 per cell]  4 Te 3.06, 1 Al 3.20, 4 Cl 3.25
Te (0.5000, 0.5000, 0.0000) [1 per cell]  8 Al 3.06
Cl (0.5000, 0.5000, 0.5000) [1 per cell]  8 Al 3.25, 2 Te 3.53

Energy relative to the lowest polymorph listed for this composition ... 449 meV per atom
Total moment ... 0.000 μB/atom
Calculated total energy ... -3.101 eV per atom

=====

Entry 8:
DFT (GGA-PBE) results for a relaxed structure of Li3ZnPd6.

Lattice parameters (Å, degrees): 7.6185 15.1487 5.0590 90.00 90.00 90.00
Last column: nearest neighbours and their distance in Å.
Space group Cmc2_1 (No. 36)
Symmetry-distinct sites (fractional):
Li (0.0000, 0.0736, 0.0000) [4 per cell]  5 Pd 2.53-2.65, 2 Li 2.54
Li (0.1849, 0.3839, 0.6045) [8 per cell]  5 Pd 2.48-2.65, 1 Li 2.54
Zn (0.0000, 0.3464, 0.0958) [4 per cell]  7 Pd 2.55-2.70
Pd (0.0000, 0.1980, 0.3332) [4 per cell]  1 Li 2.53, 1 Zn 2.55, 6 Pd 2.71-2.82
Pd (0.0000, 0.4972, 0.3384) [4 per cell]  4 Pd 2.53-2.78, 4 Li 2.57-2.60, 2 Zn 2.59-2.70
Pd (0.1760, 0.2282, 0.8162) [8 per cell]  2 Li 2.48-2.59, 1 Zn 2.65, 2 Pd 2.68-2.71
Pd (0.1955, 0.0623, 0.5691) [8 per cell]  4 Li 2.56-2.86, 1 Zn 2.70, 4 Pd 2.78-2.84

Energy relative to the lowest polymorph listed for this composition ... 40 meV per atom
Total moment ... 0.000 μB/atom
Calculated total energy ... -4.159 eV per atom

=====

Entry 9:
DFT (GGA-PBE) results for a relaxed structure of Ca2ScMo2.

Lattice parameters (Å, degrees): 8.9356 8.9356 2.8717 90.00 90.00 90.00
Last column: nearest neighbours and their distance in Å.
Space group P4/mbm (No. 127)
Symmetry-distinct sites (fractional):
Ca (0.1242, 0.3757, 0.0000) [4 per cell]  3 Ca 2.87-3.14, 6 Mo 2.88-3.09
Sc (0.0000, 0.0000, 0.0000) [2 per cell]  2 Sc 2.87
Mo (0.1778, 0.6778, 0.5000) [4 per cell]  2 Mo 2.87, 6 Ca 2.88-3.09

Energy relative to the lowest polymorph listed for this composition ... 400 meV per atom
Total moment ... 0.493 μB/atom
Calculated total energy ... -5.357 eV per atom

=====

Entry 10:
DFT (GGA-PBE) results for a relaxed structure of Pr2PuRh3.

Lattice parameters (Å, degrees): 12.4691 5.7620 8.4869 90.00 109.90 90.00
Last column: nearest neighbours and their distance in Å.
Space group C2/c (No. 15)
Symmetry-distinct sites (fractional):
Pr (0.1700, 0.0007, 0.0850) [8 per cell]  6 Rh 2.90-3.09
Pu (0.0000, 0.4980, 0.2500) [4 per cell]  6 Rh 2.67-2.88
Rh (0.0000, 0.0025, 0.7500) [4 per cell]  2 Pu 2.88, 4 Pr 2.91
Rh (0.1388, 0.4993, 0.5694) [8 per cell]  2 Pu 2.67, 2 Pr 2.90

Energy relative to the lowest polymorph listed for this composition ... 109 meV per atom
Total moment ... 0.795 μB/atom
Calculated total energy ... -8.112 eV per atom

=====

Entry 11:
DFT (GGA-PBE) results for a relaxed structure of KHfPaO6.

Lattice parameters (Å, degrees): 5.8749 5.8749 4.8573 90.00 90.00 120.00
Last column: nearest neighbours and their distance in Å.
Space group P312 (No. 149)
Symmetry-distinct sites (fractional):
K (0.0000, 0.0000, 0.0000) [1 per cell]  6 O 2.73
Hf (0.3333, 0.6667, 0.0000) [1 per cell]  6 O 2.09
Pa (0.6667, 0.3333, 0.5000) [1 per cell]  6 O 2.19
O (0.0079, 0.4225, 0.2426) [6 per cell]  1 Hf 2.09, 1 Pa 2.19

Total moment ... 0.224 μB/atom
Calculated total energy ... -8.173 eV per atom

=====

Entry 12:
DFT (GGA-PBE) results for a relaxed structure of SrRe4Os.

Lattice parameters (Å, degrees): 7.4997 7.4997 7.4997 90.00 90.00 90.00
Last column: nearest neighbours and their distance in Å.
Space group F-43m (No. 216)
Symmetry-distinct sites (fractional):
Sr (0.0000, 0.0000, 0.0000) [4 per cell]  12 Re 3.11, 4 Os 3.25
Re (0.1257, 0.1257, 0.3743) [16 per cell]  6 Re 2.64-2.67
Os (0.2500, 0.2500, 0.7500) [4 per cell]  12 Re 3.11, 4 Sr 3.25

Total moment ... 0.000 μB/atom
Calculated total energy ... -9.690 eV per atom

=====

Entry 13:
DFT (GGA-PBE) results for a relaxed structure of ZnPt4Au.

Lattice parameters (Å, degrees): 11.6923 7.2811 4.8108 90.00 104.61 90.00
Last column: nearest neighbours and their distance in Å.
Space group C2/m (No. 12)
Symmetry-distinct sites (fractional):
Zn (0.0643, 0.0000, 0.2599) [4 per cell]  1 Zn 2.57, 7 Pt 2.57-2.75, 1 Au 2.62
Pt (0.0000, 0.2887, 0.5000) [4 per cell]  2 Zn 2.60, 4 Pt 2.76-2.81, 2 Au 2.78
Pt (0.1230, 0.3147, 0.0695) [8 per cell]  1 Zn 2.62, 6 Pt 2.70-2.81, 2 Au 2.89-2.92
Pt (0.1655, 0.0000, 0.8014) [4 per cell]  3 Zn 2.57-2.75, 4 Pt 2.74-2.75, 2 Au 2.81-2.83
Au (0.2044, 0.5000, 0.6162) [4 per cell]  1 Zn 2.62, 8 Pt 2.78-2.92

Energy relative to the lowest polymorph listed for this composition ... 154 meV per atom
Total moment ... 0.000 μB/atom
Calculated total energy ... -4.815 eV per atom

=====

Entry 14:
DFT (GGA-PBE) results for a relaxed structure of MnSnSe3.

Lattice parameters (Å, degrees): 6.5506 6.5506 7.4871 90.00 90.00 120.00
Last column: nearest neighbours and their distance in Å.
Space group P-31m (No. 162)
Symmetry-distinct sites (fractional):
Mn (0.3333, 0.6667, 0.0000) [2 per cell]  6 Se 2.52
Sn (0.0000, 0.0000, 0.2987) [2 per cell]  3 Se 2.67
Se (0.0000, 0.3924, 0.7976) [6 per cell]  2 Mn 2.52, 1 Sn 2.67

Energy relative to the lowest polymorph listed for this composition ... 48 meV per atom
Total moment ... 0.670 μB/atom
Calculated total energy ... -5.075 eV per atom

=====

Entry 15:
DFT (GGA-PBE) results for a relaxed structure of CuBPb3.

Lattice parameters (Å, degrees): 5.0406 5.0406 5.0406 90.00 90.00 90.00
Last column: nearest neighbours and their distance in Å.
Space group Pm-3m (No. 221)
Symmetry-distinct sites (fractional):
Cu (0.0000, 0.0000, 0.0000) [1 per cell]  12 Pb 3.56
B (0.5000, 0.5000, 0.5000) [1 per cell]  6 Pb 2.52
Pb (0.0000, 0.5000, 0.5000) [3 per cell]  2 B 2.52

Energy relative to the lowest polymorph listed for this composition ... 0 meV per atom
Total moment ... 0.000 μB/atom
Calculated total energy ... -3.516 eV per atom

=====

Entry 16:
DFT (GGA-PBE) results for a relaxed structure of Rb3Er3TiO8.

Lattice parameters (Å, degrees): 6.7029 6.7029 19.7897 90.00 90.00 120.00
Last column: nearest neighbours and their distance in Å.
Space group R-3m (No. 166, hexagonal axes)
Symmetry-distinct sites (fractional):
Rb (0.0000, 0.5000, 0.0000) [9 per cell]  6 O 2.90-2.91
Er (0.0000, 0.5000, 0.5000) [9 per cell]  6 O 2.24-2.29
Ti (0.0000, 0.0000, 0.5000) [3 per cell]  6 O 2.05
O (0.0000, 0.0000, 0.2236) [6 per cell]  3 Er 2.24
O (0.0316, 0.5158, 0.2204) [18 per cell]  1 Ti 2.05, 2 Er 2.29

Total moment ... 0.000 μB/atom
Calculated total energy ... -7.086 eV per atom

=====

Entry 17:
DFT (GGA-PBE) results for a relaxed structure of LiPm4Er3S8.

Lattice parameters (Å, degrees): 7.8417 7.8417 19.5093 90.00 90.00 120.00
Last column: nearest neighbours and their distance in Å.
Space group R-3m (No. 166, hexagonal axes)
Symmetry-distinct sites (fractional):
Li (0.0000, 0.0000, 0.0000) [3 per cell]  6 S 2.70
Pm (0.0000, 0.0000, 0.5000) [3 per cell]  6 S 2.88
Pm (0.0000, 0.5000, 0.5000) [9 per cell]  6 S 2.85
Er (0.0000, 0.5000, 0.0000) [9 per cell]  6 S 2.73
S (0.0000, 0.0000, 0.2553) [6 per cell]  3 Er 2.73, 3 Pm 2.85
S (0.0040, 0.5020, 0.7438) [18 per cell]  1 Li 2.70, 2 Er 2.73, 3 Pm 2.85-2.88

Total moment ... 0.000 μB/atom
Calculated total energy ... -6.191 eV per atom

=====

Entry 18:
DFT (GGA-PBE) results for a relaxed structure of Zr3Mn.

Lattice parameters (Å, degrees): 4.3765 4.3765 4.3765 90.00 90.00 90.00
Last column: nearest neighbours and their distance in Å.
Space group Pm-3m (No. 221)
Symmetry-distinct sites (fractional):
Zr (0.0000, 0.0000, 0.5000) [3 per cell]  8 Zr 3.09, 4 Mn 3.09
Mn (0.5000, 0.5000, 0.5000) [1 per cell]  12 Zr 3.09

Total moment ... 0.843 μB/atom
Calculated total energy ... -8.560 eV per atom

=====

Entry 19:
DFT (GGA-PBE) results for a relaxed structure of HfCuC2.

Lattice parameters (Å, degrees): 4.1240 4.1240 11.8058 90.00 90.00 90.00
Last column: nearest neighbours and their distance in Å.
Space group I-42d (No. 122)
Symmetry-distinct sites (fractional):
Hf (0.0000, 0.0000, 0.0000) [4 per cell]  4 C 2.21
Cu (0.0000, 0.0000, 0.5000) [4 per cell]  4 C 1.96
C (0.1881, 0.2500, 0.6250) [8 per cell]  2 Cu 1.96

Energy relative to the lowest polymorph listed for this composition ... 0 meV per atom
Total moment ... 0.000 μB/atom
Calculated total energy ... -7.325 eV per atom

=====

Entry 20:
DFT (GGA-PBE) results for a relaxed structure of NpSiPd.

Lattice parameters (Å, degrees): 4.4885 4.4885 3.1818 90.00 90.00 120.00
Last column: nearest neighbours and their distance in Å.
Space group P-6m2 (No. 187)
Symmetry-distinct sites (fractional):
Np (0.0000, 0.0000, 0.0000) [1 per cell]  6 Si 3.04, 6 Pd 3.04, 2 Np 3.18
Si (0.6667, 0.3333, 0.5000) [1 per cell]  3 Pd 2.59
Pd (0.3333, 0.6667, 0.5000) [1 per cell]  3 Si 2.59

Total moment ... 1.248 μB/atom
Calculated total energy ... -8.242 eV per atom